Record 1
PBE SnOs2Pd, optimized geometry; space-group type = No. 122; DFT total energy = -6.234 eV/atom; energy relative to the elements = 1.680 eV per atom; calculated volume = 24.491 Å³ per atom
1.0
-2.9404 2.9404 5.6655
2.9404 -2.9404 5.6655
2.9404 2.9404 -5.6655
Sn Os Pd
2 4 2
direct
0.0000 0.0000 0.0000
0.7500 0.2500 0.5000
0.1554 0.6250 0.0304
0.3750 0.4054 0.5304
0.5946 0.1250 0.9696
0.8750 0.8446 0.4696
0.2500 0.7500 0.5000
0.5000 0.5000 0.0000

Record 2
PBE LiCrAs3, optimized geometry; space-group type = No. 221; DFT total energy = -4.938 eV/atom; energy relative to the elements = 0.160 eV per atom; calculated volume = 20.946 Å³ per atom; energy above the most stable polymorph in this dataset = 0.0 meV/atom
1.0
4.7136 0.0000 0.0000
0.0000 4.7136 0.0000
0.0000 0.0000 4.7136
Li Cr As
1 1 3
direct
0.0000 0.0000 0.0000
0.5000 0.5000 0.5000
0.0000 0.5000 0.5000
0.5000 0.0000 0.5000
0.5000 0.5000 0.0000

Record 3
PBE Rb2AcTaO6, optimized geometry; space-group type = No. 12; DFT total energy = -7.022 eV/atom; calculated volume = 18.180 Å³ per atom
1.0
5.5066 -3.1794 0.0000
5.5066 3.1794 0.0000
-3.6717 0.0000 5.1919
Rb Ac Ta O
2 1 1 6
direct
0.2500 0.2500 0.2499
0.7500 0.7500 0.7501
0.0000 0.0000 0.5000
0.5000 0.5000 0.0000
0.2771 0.2771 0.7782
0.2766 0.7223 0.7766
0.2777 0.7234 0.2234
0.7223 0.2766 0.7766
0.7234 0.2777 0.2234
0.7229 0.7229 0.2218